[1]
HgSb2Os2 (GGA-PBE, optimized geometry); raw formation energy = 0.6904 eV/atom; M_tot = 0.00 Bohr magnetons per cell; space group = P4/mbm, No. 127; raw total energy = -5.5108 eV/atom; DOS at the Fermi energy = 1.5 states/eV/f.u.
1.0
8.043 0.000 0.000
0.000 8.043 0.000
0.000 0.000 3.032
Hg Sb Os
2 4 4
Direct
0.000 0.000 0.000
0.500 0.500 0.000
0.148 0.352 0.000
0.352 0.852 0.000
0.648 0.148 0.000
0.852 0.648 0.000
0.139 0.639 0.500
0.361 0.139 0.500
0.639 0.861 0.500
0.861 0.361 0.500

---

[2]
KLaPb2Br8 (GGA-PBE, optimized geometry); raw formation energy = -1.3998 eV/atom; M_tot = 0.00 Bohr magnetons per cell; space group = P2/m, No. 10; raw total energy = -3.6351 eV/atom; DOS at the Fermi energy = 0.0 states/eV/f.u.
1.0
6.968 0.000 0.000
0.000 9.334 0.000
-0.098 0.000 7.317
K La Pb Br
1 1 2 8
Direct
0.000 0.000 0.000
0.000 0.500 0.000
0.500 0.245 0.500
0.500 0.755 0.500
0.245 0.273 0.157
0.245 0.727 0.157
0.249 0.500 0.670
0.271 0.000 0.638
0.729 0.000 0.362
0.751 0.500 0.330
0.755 0.273 0.843
0.755 0.727 0.843

---

[3]
Fe5SiC (GGA-PBE, optimized geometry); raw formation energy = -0.1583 eV/atom; M_tot = 37.51 Bohr magnetons per cell; space group = Cmcm, No. 63; raw total energy = -8.2955 eV/atom; DOS at the Fermi energy = 5.2 states/eV/f.u.
1.0
4.962 -3.971 0.000
4.962 3.971 0.000
0.000 0.000 7.417
Fe Si C
20 4 4
Direct
0.013 0.692 0.060
0.013 0.692 0.440
0.032 0.968 0.750
0.192 0.566 0.750
0.308 0.987 0.060
0.308 0.987 0.440
0.349 0.651 0.250
0.375 0.375 0.000
0.375 0.375 0.500
0.434 0.808 0.750
0.566 0.192 0.250
0.625 0.625 0.000
0.625 0.625 0.500
0.651 0.349 0.750
0.692 0.013 0.560
0.692 0.013 0.940
0.808 0.434 0.250
0.968 0.032 0.250
0.987 0.308 0.560
0.987 0.308 0.940
0.173 0.320 0.250
0.320 0.173 0.750
0.680 0.827 0.250
0.827 0.680 0.750
0.309 0.691 0.537
0.309 0.691 0.963
0.691 0.309 0.037
0.691 0.309 0.463

---

[4]
TbNdCdPd (GGA-PBE, optimized geometry); M_tot = 0.00 Bohr magnetons per cell; space group = F-43m, No. 216; raw total energy = -4.3770 eV/atom; DOS at the Fermi energy = 2.9 states/eV/f.u.
1.0
0.000 3.691 3.691
3.691 0.000 3.691
3.691 3.691 0.000
Tb Nd Cd Pd
1 1 1 1
Direct
0.000 0.000 0.000
0.500 0.500 0.500
0.250 0.250 0.250
0.750 0.750 0.750

---

[5]
DyPuBr6 (GGA-PBE, optimized geometry); raw formation energy = -1.6604 eV/atom; M_tot = 5.00 Bohr magnetons per cell; space group = C2/m, No. 12; raw total energy = -5.2818 eV/atom; DOS at the Fermi energy = 9.3 states/eV/f.u.
1.0
3.544 -6.565 0.000
3.544 6.565 0.000
-2.043 0.000 6.768
Dy Pu Br
1 1 6
Direct
0.000 0.000 0.000
0.500 0.500 0.500
0.096 0.388 0.246
0.249 0.249 0.756
0.388 0.096 0.246
0.612 0.904 0.754
0.751 0.751 0.244
0.904 0.612 0.754

---

[6]
PmSm2Tm2Th2 (GGA-PBE, optimized geometry); M_tot = 0.00 Bohr magnetons per cell; space group = C2/m, No. 12; raw total energy = -5.2955 eV/atom; DOS at the Fermi energy = 8.9 states/eV/f.u.
1.0
8.589 -1.755 0.000
8.589 1.755 0.000
-4.472 0.000 7.695
Pm Sm Tm Th
1 2 2 2
Direct
0.000 0.000 0.000
0.349 0.349 0.560
0.651 0.651 0.440
0.425 0.425 0.272
0.575 0.575 0.728
0.269 0.269 0.849
0.731 0.731 0.151

---

[7]
LiAg2PbBr6 (GGA-PBE, optimized geometry); raw formation energy = -0.6700 eV/atom; M_tot = 1.14 Bohr magnetons per cell; space group = C2/c, No. 15; raw total energy = -2.8062 eV/atom; DOS at the Fermi energy = 9.7 states/eV/f.u.
1.0
6.339 -7.352 0.000
6.339 7.352 0.000
-2.897 0.000 6.770
Li Ag Pb Br
2 4 2 12
Direct
0.197 0.803 0.750
0.803 0.197 0.250
0.292 0.464 0.336
0.464 0.292 0.836
0.536 0.708 0.164
0.708 0.536 0.664
0.097 0.903 0.250
0.903 0.097 0.750
0.064 0.214 0.194
0.105 0.641 0.387
0.214 0.064 0.694
0.301 0.479 0.946
0.359 0.895 0.113
0.479 0.301 0.446
0.521 0.699 0.554
0.641 0.105 0.887
0.699 0.521 0.054
0.786 0.936 0.306
0.895 0.359 0.613
0.936 0.786 0.806

---

[8]
NpUSe4 (GGA-PBE, optimized geometry); raw formation energy = -0.9870 eV/atom; M_tot = 2.01 Bohr magnetons per cell; space group = Cmmm, No. 65; raw total energy = -7.3482 eV/atom; DOS at the Fermi energy = 9.3 states/eV/f.u.
1.0
4.649 -4.704 0.000
4.649 4.704 0.000
0.000 0.000 4.298
Np U Se
1 1 4
Direct
0.000 0.000 0.000
0.500 0.500 0.500
0.199 0.199 0.500
0.309 0.691 0.000
0.691 0.309 0.000
0.801 0.801 0.500

---

[9]
CsPuBi2O6 (GGA-PBE, optimized geometry); raw formation energy = -1.7974 eV/atom; M_tot = 3.00 Bohr magnetons per cell; space group = R3, No. 146; raw total energy = -7.0671 eV/atom; DOS at the Fermi energy = 9.3 states/eV/f.u.
1.0
3.070 1.773 6.082
-3.070 1.773 6.082
0.000 -3.545 6.082
Cs Pu Bi O
1 1 2 6
Direct
0.000 0.000 0.000
0.542 0.542 0.542
0.217 0.217 0.217
0.756 0.756 0.756
0.147 0.546 0.748
0.403 0.928 0.504
0.504 0.403 0.928
0.546 0.748 0.147
0.748 0.147 0.546
0.928 0.504 0.403

---

[10]
K5Cd2Hg (GGA-PBE, optimized geometry); M_tot = 0.00 Bohr magnetons per cell; space group = I4/mcm, No. 140; raw total energy = -1.0421 eV/atom; DOS at the Fermi energy = 5.2 states/eV/f.u.
1.0
-4.633 4.633 8.634
4.633 -4.633 8.634
4.633 4.633 -8.634
K Cd Hg
10 4 2
Direct
0.000 0.000 0.000
0.027 0.527 0.847
0.180 0.027 0.500
0.320 0.820 0.847
0.473 0.320 0.500
0.500 0.500 0.000
0.527 0.680 0.500
0.680 0.180 0.153
0.820 0.973 0.500
0.973 0.473 0.153
0.113 0.387 0.500
0.387 0.887 0.275
0.613 0.113 0.725
0.887 0.613 0.500
0.250 0.250 0.000
0.750 0.750 0.000

---

[11]
NaSrCd2Sn2 (GGA-PBE, optimized geometry); M_tot = 0.00 Bohr magnetons per cell; space group = P-3m1, No. 164; raw total energy = -2.4781 eV/atom; DOS at the Fermi energy = 2.1 states/eV/f.u.
1.0
4.976 0.000 0.000
-2.488 4.310 0.000
0.000 0.000 7.762
Na Sr Cd Sn
1 1 2 2
Direct
0.000 0.000 0.000
0.000 0.000 0.500
0.333 0.667 0.194
0.667 0.333 0.806
0.333 0.667 0.750
0.667 0.333 0.250

---

[12]
La3TbDy4Se8 (GGA-PBE, optimized geometry); raw formation energy = -1.8426 eV/atom; M_tot = 0.00 Bohr magnetons per cell; space group = R-3m, No. 166; raw total energy = -5.9487 eV/atom; DOS at the Fermi energy = 10.4 states/eV/f.u.
1.0
4.150 2.396 6.868
-4.150 2.396 6.868
0.000 -4.792 6.868
La Tb Dy Se
3 1 4 8
Direct
0.000 0.500 0.500
0.500 0.000 0.500
0.500 0.500 0.000
0.000 0.000 0.000
0.000 0.000 0.500
0.000 0.500 0.000
0.500 0.000 0.000
0.500 0.500 0.500
0.238 0.749 0.749
0.244 0.244 0.244
0.251 0.251 0.762
0.251 0.762 0.251
0.749 0.238 0.749
0.749 0.749 0.238
0.756 0.756 0.756
0.762 0.251 0.251

---

[13]
Tb3CePr4 (GGA-PBE, optimized geometry); M_tot = 0.85 Bohr magnetons per cell; space group = C2/m, No. 12; raw total energy = -4.6815 eV/atom; DOS at the Fermi energy = 15.6 states/eV/f.u.
1.0
11.906 -1.736 0.000
11.906 1.736 0.000
-2.012 0.000 6.641
Tb Ce Pr
3 1 4
Direct
0.000 0.000 0.000
0.122 0.122 0.380
0.878 0.878 0.620
0.500 0.500 0.500
0.121 0.121 0.862
0.258 0.258 0.264
0.742 0.742 0.736
0.879 0.879 0.138

---

[14]
GdHoPdAu (GGA-PBE, optimized geometry); M_tot = 7.16 Bohr magnetons per cell; space group = F-43m, No. 216; raw total energy = -7.6272 eV/atom; DOS at the Fermi energy = 3.1 states/eV/f.u.
1.0
0.000 3.567 3.567
3.567 0.000 3.567
3.567 3.567 0.000
Gd Ho Pd Au
1 1 1 1
Direct
0.000 0.000 0.000
0.500 0.500 0.500
0.250 0.250 0.250
0.750 0.750 0.750

---

[15]
Mn2BiAs2 (GGA-PBE, optimized geometry); M_tot = 6.49 Bohr magnetons per cell; space group = I4/mmm, No. 139; raw total energy = -6.1848 eV/atom; DOS at the Fermi energy = 2.1 states/eV/f.u.
1.0
-1.951 1.951 6.312
1.951 -1.951 6.312
1.951 1.951 -6.312
Mn Bi As
2 1 2
Direct
0.110 0.110 0.000
0.890 0.890 0.000
0.500 0.500 0.000
0.250 0.750 0.500
0.750 0.250 0.500

---

[16]
BaPt2PbF (GGA-PBE, optimized geometry); raw formation energy = -0.1933 eV/atom; M_tot = 0.00 Bohr magnetons per cell; space group = P4/mmm, No. 123; raw total energy = -4.1101 eV/atom; DOS at the Fermi energy = 3.6 states/eV/f.u.
1.0
5.065 0.000 0.000
0.000 5.065 0.000
0.000 0.000 4.691
Ba Pt Pb F
1 2 1 1
Direct
0.000 0.000 0.000
0.000 0.500 0.500
0.500 0.000 0.500
0.500 0.500 0.000
0.500 0.500 0.500

---

[17]
TmCu2 (GGA-PBE, optimized geometry); M_tot = 0.00 Bohr magnetons per cell; space group = C2/m, No. 12; raw total energy = -4.5160 eV/atom; DOS at the Fermi energy = 1.3 states/eV/f.u.
1.0
4.213 -3.361 0.000
4.213 3.361 0.000
-2.140 0.000 3.676
Tm Cu
2 4
Direct
0.204 0.204 0.454
0.796 0.796 0.546
0.216 0.613 0.164
0.387 0.784 0.836
0.613 0.216 0.164
0.784 0.387 0.836

---

[18]
NaPr2IO6 (GGA-PBE, optimized geometry); raw formation energy = -2.0278 eV/atom; M_tot = 0.00 Bohr magnetons per cell; space group = R3, No. 146; raw total energy = -6.2455 eV/atom; DOS at the Fermi energy = 0.0 states/eV/f.u.
1.0
3.021 1.744 5.048
-3.021 1.744 5.048
0.000 -3.489 5.048
Na Pr I O
1 2 1 6
Direct
0.000 0.000 0.000
0.266 0.266 0.266
0.782 0.782 0.782
0.484 0.484 0.484
0.151 0.666 0.388
0.197 0.594 0.864
0.388 0.151 0.666
0.594 0.864 0.197
0.666 0.388 0.151
0.864 0.197 0.594

---

[19]
Ho3Sc7In2 (GGA-PBE, optimized geometry); M_tot = 0.06 Bohr magnetons per cell; space group = R-3m, No. 166; raw total energy = -5.2509 eV/atom; DOS at the Fermi energy = 24.7 states/eV/f.u.
1.0
3.065 1.770 10.091
-3.065 1.770 10.091
0.000 -3.539 10.091
Ho Sc In
3 7 2
Direct
0.000 0.000 0.000
0.145 0.145 0.145
0.855 0.855 0.855
0.083 0.582 0.582
0.418 0.418 0.917
0.418 0.917 0.418
0.500 0.500 0.500
0.582 0.083 0.582
0.582 0.582 0.083
0.917 0.418 0.418
0.333 0.333 0.333
0.667 0.667 0.667

---

[20]
NaMg2Ge2 (GGA-PBE, optimized geometry); M_tot = 0.00 Bohr magnetons per cell; space group = P2_1/m, No. 11; raw total energy = -2.8926 eV/atom; DOS at the Fermi energy = 1.7 states/eV/f.u.
1.0
4.758 0.000 0.000
0.000 4.013 0.000
-0.910 0.000 11.950
Na Mg Ge
2 4 4
Direct
0.193 0.250 0.256
0.807 0.750 0.744
0.247 0.750 0.483
0.328 0.250 0.866
0.672 0.750 0.134
0.753 0.250 0.517
0.165 0.750 0.018
0.279 0.250 0.643
0.721 0.750 0.357
0.835 0.250 0.982

---

[21]
CaAl2Cd (GGA-PBE, optimized geometry); M_tot = 0.00 Bohr magnetons per cell; space group = R-3m, No. 166; raw total energy = -2.4705 eV/atom; DOS at the Fermi energy = 2.5 states/eV/f.u.
1.0
1.678 0.969 9.658
-1.678 0.969 9.658
0.000 -1.937 9.658
Ca Al Cd
1 2 1
Direct
0.000 0.000 0.000
0.244 0.244 0.244
0.756 0.756 0.756
0.500 0.500 0.500

---

[22]
LiLaTbSn (GGA-PBE, optimized geometry); M_tot = 0.00 Bohr magnetons per cell; space group = F-43m, No. 216; raw total energy = -4.3012 eV/atom; DOS at the Fermi energy = 2.8 states/eV/f.u.
1.0
0.000 3.802 3.802
3.802 0.000 3.802
3.802 3.802 0.000
Li La Tb Sn
1 1 1 1
Direct
0.000 0.000 0.000
0.750 0.750 0.750
0.250 0.250 0.250
0.500 0.500 0.500

---

[23]
BaPIF2 (GGA-PBE, optimized geometry); raw formation energy = -1.4744 eV/atom; M_tot = 2.00 Bohr magnetons per cell; space group = P4/mmm, No. 123; raw total energy = -3.9995 eV/atom; DOS at the Fermi energy = 1.3 states/eV/f.u.
1.0
4.852 0.000 0.000
0.000 4.852 0.000
0.000 0.000 7.771
Ba P I F
1 1 1 2
Direct
0.000 0.000 0.000
0.500 0.500 0.500
0.000 0.000 0.500
0.000 0.500 0.000
0.500 0.000 0.000